No. 1
A plane-wave DFT calculation with PBE was carried out for a relaxed structure of Ac2TmIn2.

Computed properties:
Energy relative to the lowest polymorph listed for this composition = 14 meV per atom
Space group = Immm, No. 71
Energy of formation from the pure elements = -337 meV per atom

```
Ac2TmIn2
1.0
5.0368 0.0000 0.0000
2.5184 6.0581 0.2124
2.5184 1.8269 5.7800
Ac In Tm
2 2 1
direct
0.8019 0.6981 0.6981
0.1981 0.3019 0.3019
0.5000 0.7222 0.2778
0.5000 0.2778 0.7222
0.0000 0.0000 0.0000
```



No. 2
A plane-wave DFT calculation with PBE was carried out for a relaxed structure of NbH2Pt.

Computed properties:
Energy relative to the lowest polymorph listed for this composition = 310 meV per atom
Space group = Fm-3m, No. 225

```
NbH2Pt
1.0
-3.4093 -1.2706 1.2972
-0.8019 0.1356 3.7761
-2.6177 2.5100 1.3296
Pt H Nb
1 2 1
direct
0.5000 0.5000 0.5000
0.7500 0.7500 0.7500
0.2500 0.2500 0.2500
0.0000 0.0000 0.0000
```



No. 3
A plane-wave DFT calculation with PBE was carried out for a relaxed structure of NpGaPdO6.

Computed properties:
Space group = P-31c, No. 163
Raw formation energy = -1.646 eV/atom

```
NpGaPdO6
1.0
-5.0904 1.3603 -0.2995
1.4521 -4.1659 2.8964
1.0099 5.3675 7.2137
O Np Pd Ga
12 2 2 2
direct
0.6599 0.6530 0.1305
0.9930 0.6530 0.3695
0.0070 0.6599 0.8695
0.3470 0.0070 0.1305
0.3401 0.3470 0.8695
0.6530 0.6599 0.6305
0.9930 0.3401 0.1305
0.3470 0.3401 0.3695
0.3401 0.9930 0.6305
0.0070 0.3470 0.6305
0.6530 0.9930 0.8695
0.6599 0.0070 0.3695
0.6667 0.3333 0.7500
0.3333 0.6667 0.2500
0.0000 0.0000 0.5000
0.0000 0.0000 0.0000
0.6667 0.3333 0.2500
0.3333 0.6667 0.7500
```